No. 1
First-principles (PBE-GGA) data for Mg4Cu after structural relaxation, as listed in Alexandria.

Computed properties:
Formation enthalpy at 0 K: 1.7 eV per formula unit
Symmetry: I4/mmm

Structure (POSCAR):
```
Mg4Cu
1.0
-1.8920 1.8920 7.8202
1.8920 -1.8920 7.8202
1.8920 1.8920 -7.8202
Mg Cu
4 1
direct
0.0898 0.0898 0.0000
0.2500 0.7500 0.5000
0.7500 0.2500 0.5000
0.9102 0.9102 0.0000
0.5000 0.5000 0.0000
```

No. 2
First-principles (PBE-GGA) data for Ce3HoRh3 after structural relaxation, as listed in Alexandria.

Computed properties:
Formation enthalpy at 0 K: -4.4 eV per formula unit
Symmetry: C2/m

Structure (POSCAR):
```
Ce3HoRh3
1.0
4.5015 -5.1671 0.0000
4.5015 5.1671 0.0000
-0.0612 0.0000 6.9641
Ce Ho Rh
6 2 6
direct
0.1855 0.8145 0.0000
0.2515 0.7485 0.5000
0.3637 0.3637 0.1087
0.6363 0.6363 0.8913
0.7485 0.2515 0.5000
0.8145 0.1855 0.0000
0.2501 0.2501 0.6177
0.7499 0.7499 0.3823
0.0300 0.4846 0.2697
0.0602 0.0602 0.2858
0.4846 0.0300 0.2697
0.5154 0.9700 0.7303
0.9398 0.9398 0.7142
0.9700 0.5154 0.7303
```

No. 3
First-principles (PBE-GGA) data for NaCa2SnAs after structural relaxation, as listed in Alexandria.

Computed properties:
Formation enthalpy at 0 K: -2.3 eV per formula unit
Symmetry: P4/mmm

Structure (POSCAR):
```
NaCa2SnAs
1.0
5.5737 0.0000 0.0000
0.0000 5.5737 0.0000
0.0000 0.0000 5.3740
Na Ca Sn As
1 2 1 1
direct
0.0000 0.0000 0.0000
0.0000 0.5000 0.5000
0.5000 0.0000 0.5000
0.5000 0.5000 0.0000
0.0000 0.0000 0.5000
```

No. 4
First-principles (PBE-GGA) data for GdTc after structural relaxation, as listed in Alexandria.

Computed properties:
Formation enthalpy at 0 K: 0.1 eV per formula unit
Symmetry: Cmcm

Structure (POSCAR):
```
GdTc
1.0
2.2960 -5.2210 0.0000
2.2960 5.2210 0.0000
0.0000 0.0000 4.0365
Gd Tc
2 2
direct
0.1447 0.8553 0.7500
0.8553 0.1447 0.2500
0.4410 0.5590 0.7500
0.5590 0.4410 0.2500
```

No. 5
First-principles (PBE-GGA) data for KGa2Te after structural relaxation, as listed in Alexandria.

Computed properties:
Formation energy without anion corrections: 2 meV per atom
Symmetry: R-3m

Structure (POSCAR):
```
KGa2Te
1.0
2.1803 1.2588 10.2031
-2.1803 1.2588 10.2031
0.0000 -2.5176 10.2031
K Ga Te
1 2 1
direct
0.0000 0.0000 0.0000
0.1148 0.1148 0.1148
0.8852 0.8852 0.8852
0.5000 0.5000 0.5000
```

No. 6
First-principles (PBE-GGA) data for ScN after structural relaxation, as listed in Alexandria.

Computed properties:
Formation energy without anion corrections: -887 meV per atom
Symmetry: Pm-3m

Structure (POSCAR):
```
ScN
1.0
2.7895 0.0000 0.0000
0.0000 2.7895 0.0000
0.0000 0.0000 2.7895
Sc N
1 1
direct
0.0000 0.0000 0.0000
0.5000 0.5000 0.5000
```

No. 7
First-principles (PBE-GGA) data for ReTcRu after structural relaxation, as listed in Alexandria.

Computed properties:
Energy above the lowest structure with this stoichiometry: 6 meV/atom
Formation enthalpy at 0 K: 0.2 eV per formula unit
Symmetry: Imm2

Structure (POSCAR):
```
ReTcRu
1.0
-1.3620 1.9399 4.1187
1.3620 -1.9399 4.1187
1.3620 1.9399 -4.1187
Re Tc Ru
1 1 1
direct
0.0000 0.0000 0.0000
0.3329 0.3329 0.0000
0.6661 0.6661 0.0000
```

No. 8
First-principles (PBE-GGA) data for ErTc3 after structural relaxation, as listed in Alexandria.

Computed properties:
Formation enthalpy at 0 K: 1.3 eV per formula unit
Symmetry: Fmmm

Structure (POSCAR):
```
ErTc3
1.0
0.0000 4.4562 5.8039
2.6478 0.0000 5.8039
2.6478 4.4562 0.0000
Er Tc
2 6
direct
0.1357 0.1357 0.8643
0.8643 0.8643 0.1357
0.0000 0.0000 0.5000
0.2500 0.2500 0.2500
0.3917 0.3917 0.6083
0.5000 0.5000 0.0000
0.6083 0.6083 0.3917
0.7500 0.7500 0.7500
```

No. 9
First-principles (PBE-GGA) data for Ca4CuRh after structural relaxation, as listed in Alexandria.

Computed properties:
Energy above the lowest structure with this stoichiometry: 991 meV/atom
Formation enthalpy at 0 K: 4.5 eV per formula unit
Symmetry: F-43m

Structure (POSCAR):
```
Ca4CuRh
1.0
0.0000 4.3701 4.3701
4.3701 0.0000 4.3701
4.3701 4.3701 0.0000
Ca Cu Rh
4 1 1
direct
0.3757 0.3757 0.3757
0.3757 0.3757 0.8730
0.3757 0.8730 0.3757
0.8730 0.3757 0.3757
0.0000 0.0000 0.0000
0.7500 0.7500 0.7500
```

No. 10
First-principles (PBE-GGA) data for LaNdSe after structural relaxation, as listed in Alexandria.

Computed properties:
Formation energy without anion corrections: -1127 meV per atom
Energy above the lowest structure with this stoichiometry: 0 meV/atom
Symmetry: P3m1

Structure (POSCAR):
```
LaNdSe
1.0
4.0901 0.0000 0.0000
-2.0450 3.5421 0.0000
0.0000 0.0000 6.8280
La Nd Se
1 1 1
direct
0.0000 0.0000 0.0000
0.3333 0.6667 0.5448
0.6667 0.3333 0.2772
```

No. 11
First-principles (PBE-GGA) data for Li2GeSe2 after structural relaxation, as listed in Alexandria.

Computed properties:
Formation energy without anion corrections: -623 meV per atom
Symmetry: P4/mbm

Structure (POSCAR):
```
Li2GeSe2
1.0
7.7208 0.0000 0.0000
0.0000 7.7208 0.0000
0.0000 0.0000 3.1492
Li Ge Se
4 2 4
direct
0.1298 0.3702 0.0000
0.3702 0.8702 0.0000
0.6298 0.1298 0.0000
0.8702 0.6298 0.0000
0.0000 0.0000 0.5000
0.5000 0.5000 0.5000
0.1720 0.6720 0.5000
0.3280 0.1720 0.5000
0.6720 0.8280 0.5000
0.8280 0.3280 0.5000
```

No. 12
First-principles (PBE-GGA) data for TlTeRu2 after structural relaxation, as listed in Alexandria.

Computed properties:
Formation energy without anion corrections: 456 meV per atom
Energy above the lowest structure with this stoichiometry: 82 meV/atom
Symmetry: P4/mmm

Structure (POSCAR):
```
TlTeRu2
1.0
4.6712 0.0000 0.0000
0.0000 4.6712 0.0000
0.0000 0.0000 3.3065
Tl Te Ru
1 1 2
direct
0.0000 0.0000 0.0000
0.5000 0.5000 0.0000
0.0000 0.5000 0.5000
0.5000 0.0000 0.5000
```